# 1
{
  "formula": "Sm9Tm4Pu",
  "functional": "PBE",
  "state": "optimized geometry",
  "ef_kcal_per_mol_atoms": 3.75,
  "rho_g_cm3": 8.167,
  "spacegroup": "No. 194",
  "e_tot_ev_per_atom": -5.172,
  "dos_ef_per_ev_atom": 1.686,
  "cell": [[-6.130, -2.179, 9.031], [7.190, -5.639, 3.520], [-0.230, 9.551, 2.149]],
  "species": ["Tm", "Tm", "Tm", "Tm", "Tm", "Tm", "Tm", "Tm", "Sm", "Sm", "Sm", "Sm", "Sm", "Sm", "Sm", "Sm", "Sm", "Sm", "Sm", "Sm", "Sm", "Sm", "Sm", "Sm", "Sm", "Sm", "Pu", "Pu"],
  "frac_coords": [[0.250, 0.111, 0.889], [0.500, 0.000, 0.000], [0.750, 0.222, 0.111], [0.750, 0.889, 0.778], [0.750, 0.889, 0.111], [0.250, 0.111, 0.222], [0.000, 0.000, 0.000], [0.250, 0.778, 0.889], [0.035, 0.791, 0.583], [0.465, 0.791, 0.583], [0.465, 0.417, 0.209], [0.035, 0.791, 0.209], [0.750, 0.536, 0.072], [0.965, 0.209, 0.791], [0.035, 0.417, 0.209], [0.965, 0.583, 0.791], [0.250, 0.072, 0.536], [0.535, 0.583, 0.791], [0.250, 0.464, 0.536], [0.535, 0.209, 0.417], [0.750, 0.928, 0.464], [0.965, 0.209, 0.417], [0.250, 0.464, 0.928], [0.465, 0.791, 0.209], [0.535, 0.209, 0.791], [0.750, 0.536, 0.464], [0.750, 0.333, 0.667], [0.250, 0.667, 0.333]]
}

---

# 2
{
  "formula": "BaAsPdSe2",
  "functional": "PBE",
  "state": "optimized geometry",
  "e_above_lowest_polymorph_mev_per_atom": 746,
  "rho_g_cm3": 5.076,
  "raw_formation_energy_ev_per_atom": 0.10,
  "spacegroup": "No. 123",
  "e_tot_ev_per_atom": -3.646,
  "dos_ef_per_ev_atom": 1.006,
  "cell": [[-3.851, -3.050, 1.198], [2.664, -3.990, -1.595], [2.301, -0.704, 5.604]],
  "species": ["Se", "Se", "Pd", "As", "Ba"],
  "frac_coords": [[0.000, 0.500, 0.000], [0.500, 0.000, 0.000], [0.500, 0.500, 0.500], [0.000, 0.000, 0.000], [0.000, 0.000, 0.500]]
}

---

# 3
{
  "formula": "La15YIn4",
  "functional": "PBE",
  "state": "optimized geometry",
  "ef_kcal_per_mol_atoms": -5.31,
  "rho_g_cm3": 6.585,
  "spacegroup": "No. 123",
  "e_tot_ev_per_atom": -4.797,
  "dos_ef_per_ev_atom": 1.554,
  "cell": [[-2.267, -2.200, -3.971], [4.534, -1.323, -1.855], [-1.172, -22.231, 12.984]],
  "species": ["La", "La", "La", "La", "La", "La", "La", "La", "La", "La", "La", "La", "La", "La", "La", "In", "In", "In", "In", "Y"],
  "frac_coords": [[0.500, 0.500, 0.796], [0.500, 0.000, 0.895], [0.500, 0.000, 0.500], [0.000, 0.500, 0.303], [0.500, 0.500, 0.599], [0.000, 0.500, 0.500], [0.500, 0.000, 0.303], [0.500, 0.500, 0.204], [0.000, 0.500, 0.105], [0.500, 0.500, 0.000], [0.000, 0.500, 0.697], [0.000, 0.500, 0.895], [0.500, 0.000, 0.697], [0.500, 0.500, 0.401], [0.500, 0.000, 0.105], [0.000, 0.000, 0.599], [0.000, 0.000, 0.796], [0.000, 0.000, 0.204], [0.000, 0.000, 0.401], [0.000, 0.000, 0.000]]
}

---

# 4
{
  "formula": "PaTaSi",
  "functional": "PBE",
  "state": "optimized geometry",
  "e_above_lowest_polymorph_mev_per_atom": 326,
  "rho_g_cm3": 11.707,
  "raw_formation_energy_ev_per_atom": -0.06,
  "spacegroup": "No. 187",
  "e_tot_ev_per_atom": -8.987,
  "dos_ef_per_ev_atom": 1.112,
  "cell": [[3.696, 0.000, 0.000], [0.000, 4.416, 0.000], [0.000, -2.208, 3.824]],
  "species": ["Ta", "Si", "Pa"],
  "frac_coords": [[0.167, 0.333, 0.667], [0.167, 0.000, 0.000], [0.667, 0.667, 0.333]]
}

---

# 5
{
  "formula": "LuZnInCo",
  "functional": "PBE",
  "state": "optimized geometry",
  "ef_kcal_per_mol_atoms": -3.52,
  "rho_g_cm3": 9.673,
  "spacegroup": "No. 216",
  "e_tot_ev_per_atom": -4.062,
  "dos_ef_per_ev_atom": 0.836,
  "cell": [[4.650, 0.000, 0.000], [2.325, 4.027, 0.000], [2.325, 1.342, 3.797]],
  "species": ["Zn", "Lu", "In", "Co"],
  "frac_coords": [[0.250, 0.250, 0.250], [0.000, 0.000, 0.000], [0.500, 0.500, 0.500], [0.750, 0.750, 0.750]]
}

---

# 6
{
  "formula": "BaY3",
  "functional": "PBE",
  "state": "optimized geometry",
  "e_above_lowest_polymorph_mev_per_atom": 63,
  "ef_kcal_per_mol_atoms": 4.72,
  "rho_g_cm3": 4.566,
  "spacegroup": "No. 62",
  "e_tot_ev_per_atom": -5.124,
  "dos_ef_per_ev_atom": 1.530,
  "cell": [[7.525, 0.000, 0.000], [0.000, 6.459, 0.000], [0.000, 0.000, 12.092]],
  "species": ["Y", "Y", "Y", "Y", "Y", "Y", "Y", "Y", "Y", "Y", "Y", "Y", "Ba", "Ba", "Ba", "Ba"],
  "frac_coords": [[0.123, 0.237, 0.991], [0.377, 0.737, 0.509], [0.377, 0.737, 0.991], [0.623, 0.263, 0.009], [0.636, 0.590, 0.250], [0.136, 0.910, 0.750], [0.877, 0.763, 0.009], [0.623, 0.263, 0.491], [0.877, 0.763, 0.491], [0.123, 0.237, 0.509], [0.864, 0.090, 0.250], [0.364, 0.410, 0.750], [0.126, 0.579, 0.250], [0.874, 0.421, 0.750], [0.374, 0.079, 0.250], [0.626, 0.921, 0.750]]
}

---

# 7
{
  "formula": "Li3CuSn",
  "functional": "PBE",
  "state": "optimized geometry",
  "e_above_lowest_polymorph_mev_per_atom": 573,
  "ef_kcal_per_mol_atoms": 10.22,
  "rho_g_cm3": 2.575,
  "spacegroup": "No. 221",
  "e_tot_ev_per_atom": -2.325,
  "dos_ef_per_ev_atom": 0.696,
  "cell": [[5.078, 0.000, 0.000], [0.000, 5.078, 0.000], [0.000, 0.000, 5.078]],
  "species": ["Li", "Li", "Li", "Sn", "Cu"],
  "frac_coords": [[0.500, 0.000, 0.000], [0.000, 0.000, 0.500], [0.000, 0.500, 0.000], [0.000, 0.000, 0.000], [0.500, 0.500, 0.500]]
}

---

# 8
{
  "formula": "CuAgRhCl6",
  "functional": "PBE",
  "state": "optimized geometry",
  "rho_g_cm3": 4.138,
  "raw_formation_energy_ev_per_atom": -0.46,
  "spacegroup": "No. 102",
  "e_tot_ev_per_atom": -3.283,
  "dos_ef_per_ev_atom": 0.972,
  "cell": [[-0.081, 0.121, 5.898], [-4.148, -4.196, 0.029], [7.985, -7.891, 0.271]],
  "species": ["Rh", "Rh", "Cl", "Cl", "Cl", "Cl", "Cl", "Cl", "Cl", "Cl", "Cl", "Cl", "Cl", "Cl", "Cu", "Cu", "Ag", "Ag"],
  "frac_coords": [[0.500, 0.500, 0.833], [0.000, 0.000, 0.333], [0.213, 0.787, 0.825], [0.787, 0.213, 0.825], [0.197, 0.803, 0.180], [0.682, 0.682, 0.997], [0.803, 0.197, 0.180], [0.697, 0.697, 0.680], [0.182, 0.818, 0.497], [0.818, 0.182, 0.497], [0.303, 0.303, 0.680], [0.287, 0.287, 0.325], [0.318, 0.318, 0.997], [0.713, 0.713, 0.325], [0.500, 0.500, 0.166], [0.000, 0.000, 0.666], [0.000, 0.000, 0.996], [0.500, 0.500, 0.496]]
}